Here is a relaxed Li2Mg2Tl2NiPd crystal from OQMD via LeMat-Bulk. Energies are from PBE-GGA.

Volume in Å³ per cell: 135.8
Raw total energy in eV/atom: -3.071

Structure (CIF):
```
data_Li2Mg2Tl2NiPd
_chemical_formula_sum 'Li2 Mg2 Tl2 Ni1 Pd1'
_cell_length_a 4.5735
_cell_length_b 4.5735
_cell_length_c 6.4928
_cell_angle_alpha 90.00
_cell_angle_beta 90.00
_cell_angle_gamma 90.00
_symmetry_space_group_name_H-M 'P -4 m 2'
_symmetry_Int_Tables_number 115
loop_
_symmetry_equiv_pos_as_xyz
'x,y,z'
'y,-x,-z'
'-x,-y,z'
'-y,x,-z'
'-x,y,z'
'-y,-x,-z'
'x,-y,z'
'y,x,-z'
loop_
_atom_site_label
_atom_site_fract_x
_atom_site_fract_y
_atom_site_fract_z
Li1 0.0000 0.0000 0.0000
Li2 0.5000 0.5000 0.5000
Mg1 0.0000 0.5000 0.2459
Tl1 0.0000 0.5000 0.7633
Ni1 0.5000 0.5000 0.0000
Pd1 0.0000 0.0000 0.5000
```